Sc2Sb2Pb | PBE | optimized geometry

Computed properties:
SG = I4/mmm, No. 139
formation energy (no corrections) = -336 meV per atom
volume = 133 Å³/cell
distance to the lowest polymorph of the same formula = 0.1945 eV per atom
total energy = -5.259 eV/atom
magnetization = 0.00 μB/f.u.

Unit cell a=8.1259 b=8.1259 c=8.1259 alpha=150.13 beta=150.13 gamma=42.75
With the nearest neighbours (Å) after each atom.
Atoms (fractional coordinates):
Sc (0.1051, 0.1051, 0.0000)  4 Sb 3.03, 1 Sc 3.18, 4 Pb 3.36
Sc (0.8949, 0.8949, 0.0000)  4 Sb 3.03, 1 Sc 3.18, 4 Pb 3.36
Sb (0.2500, 0.7500, 0.5000)  4 Sb 2.96, 4 Sc 3.03
Sb (0.7500, 0.2500, 0.5000)  4 Sb 2.96, 4 Sc 3.03
Pb (0.5000, 0.5000, 0.0000)  8 Sc 3.36